Entry 1:
The following is a DFT calculation (meta-GGA SCAN) of a crystal of Zr2BiRh2 relaxed with PBEsol.

abc: 7.5873 7.5873 3.2816
angles: 90.00 90.00 90.00
Last column: nearest neighbours and their distance in Å.
Space group P4/mbm (No. 127)
Unique sites:
Zr: 0.1630 0.3370 0.0000 x4  6 Rh 2.77
Bi: 0.0000 0.0000 0.5000 x2  4 Rh 2.98, 8 Zr 3.28, 2 Bi 3.28
Rh: 0.1294 0.6294 0.5000 x4  6 Zr 2.77, 1 Rh 2.78, 2 Bi 2.98

The value obtained for the formation energy from the elements is -0.7738 eV/atom. The crystal system is tetragonal.

=====

Entry 2:
The following is a DFT calculation (meta-GGA SCAN) of a crystal of LiZr relaxed with PBEsol.

abc: 13.5586 2.9715 6.1807
angles: 90.00 103.09 90.00
Last column: nearest neighbours and their distance in Å.
Space group Cm (No. 8)
Unique sites:
Li: 0.0000 0.0000 0.0000 x2  5 Li 2.91-2.97, 6 Zr 3.13-3.20
Li: 0.0052 0.0000 0.5320 x2  5 Li 2.91-2.97, 6 Zr 3.12-3.17
Li: 0.3460 0.0000 0.6852 x2  6 Li 2.92-2.97, 6 Zr 3.02-3.17
Zr: 0.1710 0.5000 0.3441 x2  6 Zr 2.97-3.15, 6 Li 3.13-3.16
Zr: 0.1852 0.5000 0.8594 x2  6 Zr 2.95-3.15, 6 Li 3.03-3.20
Zr: 0.3353 0.0000 0.1923 x2  6 Zr 2.95-3.00, 6 Li 3.02-3.17

The value obtained for the formation energy from the elements is 0.2374 eV/atom. The crystal system is monoclinic. For the energy above the most stable polymorph in this dataset, the calculation gives 133 meV/atom.

=====

Entry 3:
The following is a DFT calculation (meta-GGA SCAN) of a crystal of SrIr2 relaxed with PBEsol.

abc: 2.9142 2.9142 13.0962
angles: 90.00 90.00 90.00
Last column: nearest neighbours and their distance in Å.
Space group I4/mmm (No. 139)
Unique sites:
Sr: 0.0000 0.0000 0.0000 x2  4 Sr 2.91, 8 Ir 3.23
Ir: 0.0000 0.0000 0.3104 x4  4 Ir 2.60

The value obtained for the formation energy from the elements is 0.2414 eV/atom. The crystal system is tetragonal.

=====

Entry 4:
The following is a DFT calculation (meta-GGA SCAN) of a crystal of MnZn2Au relaxed with PBEsol.

abc: 4.0143 4.0143 7.1353
angles: 90.00 90.00 90.00
Last column: nearest neighbours and their distance in Å.
Space group I-4m2 (No. 119)
Unique sites:
Mn: 0.0000 0.0000 0.0000 x2  8 Zn 2.69-2.84, 4 Au 2.69
Zn: 0.0000 0.0000 0.5000 x2  4 Zn 2.69, 4 Au 2.69, 4 Mn 2.84
Zn: 0.0000 0.5000 0.7500 x2  4 Mn 2.69, 4 Zn 2.69, 4 Au 2.84
Au: 0.0000 0.5000 0.2500 x2  4 Mn 2.69, 8 Zn 2.69-2.84

The value obtained for the formation energy from the elements is -0.2926 eV/atom. The crystal system is tetragonal.

=====

Entry 5:
The following is a DFT calculation (meta-GGA SCAN) of a crystal of LaMn2Se relaxed with PBEsol.

abc: 4.0320 4.3071 4.5661
angles: 90.00 90.00 90.00
Last column: nearest neighbours and their distance in Å.
Space group Pmmm (No. 47)
Unique sites:
La: 0.0000 0.0000 0.0000 x1  8 Mn 3.11, 4 Se 3.14
Mn: 0.5000 0.5000 0.2159 x2  1 Mn 1.97
Se: 0.0000 0.5000 0.5000 x1  4 Mn 2.40

The crystal system is orthorhombic. Its uncorrected formation energy is -0.05 eV per atom.

=====

Entry 6:
The following is a DFT calculation (meta-GGA SCAN) of a crystal of CdSeN2F relaxed with PBEsol.

abc: 3.8835 3.8835 4.1019
angles: 90.00 90.00 90.00
Last column: nearest neighbours and their distance in Å.
Space group P4/mmm (No. 123)
Unique sites:
Cd: 0.0000 0.0000 0.0000 x1  4 F 2.75, 8 N 2.82
Se: 0.5000 0.5000 0.5000 x1  4 N 1.94, 2 F 2.05
N: 0.0000 0.5000 0.5000 x2  2 Se 1.94
F: 0.5000 0.5000 0.0000 x1  2 Se 2.05

The crystal system is tetragonal. Its uncorrected formation energy is 0.73 eV per atom.

=====

Entry 7:
The following is a DFT calculation (meta-GGA SCAN) of a crystal of Zr2CdCl relaxed with PBEsol.

abc: 3.1078 3.1078 7.6821
angles: 90.00 90.00 90.00
Last column: nearest neighbours and their distance in Å.
Space group P4/mmm (No. 123)
Unique sites:
Zr: 0.0000 0.0000 0.2207 x2  4 Cl 2.78, 4 Cd 3.07, 4 Zr 3.11
Cd: 0.5000 0.5000 0.5000 x1  8 Zr 3.07, 4 Cd 3.11
Cl: 0.5000 0.5000 0.0000 x1  8 Zr 2.78, 4 Cl 3.11

The crystal system is tetragonal. Its uncorrected formation energy is -0.43 eV per atom. For the energy above the most stable polymorph in this dataset, the calculation gives 0 meV/atom.

=====

Entry 8:
The following is a DFT calculation (meta-GGA SCAN) of a crystal of KPrSe2O8 relaxed with PBEsol.

abc: 8.7898 7.3663 11.0803
angles: 90.00 91.57 90.00
Last column: nearest neighbours and their distance in Å.
Space group P2_1/c (No. 14)
Unique sites:
K: 0.0664 0.1441 0.3420 x4  7 O 2.74-3.06
Pr: 0.4433 0.6652 0.6524 x4  9 O 2.45-2.68
Se: 0.2181 0.6584 0.4108 x4  4 O 1.63-1.69
Se: 0.3093 0.1625 0.6078 x4  4 O 1.63-1.70
O: 0.0869 0.5176 0.3629 x4  1 Se 1.63
O: 0.1241 0.1480 0.6018 x4  1 Se 1.63
O: 0.1935 0.7451 0.0455 x4  1 Se 1.67
O: 0.2503 0.6792 0.8092 x4  1 Se 1.67
O: 0.3643 0.1599 0.1959 x4  1 Se 1.70
O: 0.3782 0.1649 0.4702 x4  1 Se 1.65
O: 0.3830 0.5491 0.4456 x4  1 Se 1.69
O: 0.3976 0.5037 0.1887 x4  1 Se 1.69

The crystal system is monoclinic. Its uncorrected formation energy is -1.74 eV per atom.